12
Lattice="-3.7219 5.8673 0.4113 -2.4737 -1.3241 -3.4969 -5.0075 -3.5182 4.8744" Properties=species:S:1:pos:R:3 comment="ScCuPb | the Open Quantum Materials Database | PBE | optimized geometry" magnetic_moment_mub_per_cell=0.0 space_group=Pnma energy_ev_per_atom=-4.834 pbc="T T T"
Pb -4.8345 -0.9620 -0.5269
Pb -5.1049 3.0892 -1.8696
Pb -6.0982 -2.0642 3.6584
Pb -6.3686 1.9870 2.3157
Sc -9.4362 2.1432 1.5525
Sc -3.8520 1.6580 0.6601
Sc -7.3511 -0.6330 1.1287
Sc -1.7669 -1.1182 0.2363
Cu -3.5165 0.7685 -2.1145
Cu -7.6866 0.2565 3.9033
Cu -7.1289 2.4716 -0.2040
Cu -4.0742 -1.4466 1.9928